Density functional theory data (PBE-GGA) for crystalline Tl3HgI3 at its relaxed geometry.

```
Tl3HgI3
1.0
9.6520 0.0000 0.0000
0.0000 9.6520 0.0000
0.0000 0.0000 9.6520
Tl Hg I
6 2 6
Direct
0.0000 0.2500 0.5000 Tl
0.0000 0.7500 0.5000 Tl
0.2500 0.5000 0.0000 Tl
0.5000 0.0000 0.2500 Tl
0.5000 0.0000 0.7500 Tl
0.7500 0.5000 0.0000 Tl
0.0000 0.0000 0.0000 Hg
0.5000 0.5000 0.5000 Hg
0.0000 0.5000 0.2500 I
0.0000 0.5000 0.7500 I
0.2500 0.0000 0.5000 I
0.5000 0.2500 0.0000 I
0.5000 0.7500 0.0000 I
0.7500 0.0000 0.5000 I
```

The total moment comes out at 0.00 μB per atom. As for the raw formation energy: -474 meV per atom.